SiHg4Te6 after structural relaxation, computed with PBE-GGA.

Electronic total energy: -2.424 eV per atom

Lattice parameters (Å, degrees): 14.018 8.134 13.932 90.00 109.53 90.00
Space group Cc (No. 9)
Symmetry-distinct sites (fractional):
Si 0.000 0.237 0.000 [4 per cell]
Hg 0.062 0.052 0.759 [4 per cell]
Hg 0.236 0.409 0.243 [4 per cell]
Hg 0.250 0.106 0.562 [4 per cell]
Hg 0.437 0.211 0.916 [4 per cell]
Te 0.124 0.242 0.372 [4 per cell]
Te 0.189 0.250 0.045 [4 per cell]
Te 0.244 0.240 0.752 [4 per cell]
Te 0.423 0.491 0.052 [4 per cell]
Te 0.427 0.222 0.310 [4 per cell]
Te 0.456 0.013 0.585 [4 per cell]